Material: GaCoP2O
Method: DFT, PBE with a Hubbard U
State: relaxed

Summary:
D(E_F)	2.3	states/eV/cell
symmetry	P4/mmm
volume	74.8	Å³/f.u.
spin magnetization	1.62	μB/f.u.
energy relative to the lowest polymorph listed for this composition	0.0000	eV/atom

abc: 4.675 4.675 3.421
angles: 90.00 90.00 90.00
Positions (direct):
P  0.000  0.500  0.000
P  0.500  0.000  0.000
Co  0.000  0.000  0.000
O  0.000  0.000  0.500
Ga  0.500  0.500  0.500